The following is a DFT calculation (PBE) of Ba2HRu3O10 after structural relaxation.

N(E_F)   0.357 states/eV/atom
Total magnetization   1.86 μB/f.u.
Uncorrected energy   -6.771 eV/atom

abc: 7.1954 10.0605 12.3212
angles: 90.00 90.00 90.00
With the nearest neighbours (Å) after each atom.
Element x y z (fractional)
Ba1 0.2253 0.1312 0.3849  9 O 2.73-2.93
Ba2 0.2306 0.6598 0.6075  9 O 2.77-3.05
Ba3 0.2694 0.3402 0.1075  9 O 2.77-3.05
Ba4 0.2747 0.8688 0.8849  9 O 2.73-2.93
Ba5 0.7253 0.3688 0.6151  9 O 2.73-2.93
Ba6 0.7306 0.8402 0.3925  9 O 2.77-3.05
Ba7 0.7694 0.1598 0.8925  9 O 2.77-3.05
Ba8 0.7747 0.6312 0.1151  9 O 2.73-2.93
H1 0.1244 0.3777 0.5247  1 O 0.98
H2 0.3756 0.6223 0.0247  1 O 0.98
H3 0.6244 0.1223 0.4753  1 O 0.98
H4 0.8756 0.8777 0.9753  1 O 0.98
Ru1 0.0542 0.0076 0.6470  5 O 1.82-2.03
Ru2 0.0630 0.4973 0.3428  6 O 1.94-2.06
Ru3 0.2487 0.2583 0.7446  6 O 1.94-2.03
Ru4 0.2513 0.7417 0.2446  6 O 1.94-2.03
Ru5 0.4370 0.5027 0.8428  6 O 1.94-2.06
Ru6 0.4458 0.9924 0.1470  5 O 1.82-2.03
Ru7 0.5542 0.4924 0.3530  5 O 1.82-2.03
Ru8 0.5630 0.0027 0.6572  6 O 1.94-2.06
Ru9 0.7487 0.2417 0.2554  6 O 1.94-2.03
Ru10 0.7513 0.7583 0.7554  6 O 1.94-2.03
Ru11 0.9370 0.9973 0.1572  6 O 1.94-2.06
Ru12 0.9458 0.5076 0.8530  5 O 1.82-2.03
O1 0.0100 0.3520 0.7706  2 Ru 1.92-1.99
O2 0.0109 0.8288 0.2207  2 Ru 1.94-1.96
O3 0.0337 0.9513 0.5074  1 Ru 1.82
O4 0.0373 0.4486 0.5045  1 H 0.98
O5 0.1254 0.0960 0.7887  2 Ru 1.94-2.03
O6 0.1259 0.5704 0.1988  2 Ru 1.97-2.03
O7 0.1583 0.1899 0.6072  2 Ru 1.94-2.04, 1 H 2.16
O8 0.1645 0.6715 0.3846  2 Ru 1.97
O9 0.1858 0.0713 0.1530  2 Ru 1.94-2.03
O10 0.1914 0.5909 0.8477  2 Ru 1.96-1.98
O11 0.3086 0.4091 0.3477  2 Ru 1.96-1.98
O12 0.3142 0.9287 0.6530  2 Ru 1.94-2.03
O13 0.3355 0.3285 0.8846  2 Ru 1.97
O14 0.3417 0.8101 0.1072  2 Ru 1.94-2.04, 1 H 2.16
O15 0.3741 0.4296 0.6988  2 Ru 1.97-2.03
O16 0.3746 0.9040 0.2887  2 Ru 1.94-2.03
O17 0.4627 0.5514 0.0045  1 H 0.98
O18 0.4663 0.0487 0.0074  1 Ru 1.82
O19 0.4891 0.1712 0.7207  2 Ru 1.94-1.96
O20 0.4900 0.6480 0.2706  2 Ru 1.92-1.99
O21 0.5100 0.1480 0.2294  2 Ru 1.92-1.99
O22 0.5109 0.6712 0.7793  2 Ru 1.94-1.96
O23 0.5337 0.5487 0.4926  1 Ru 1.82
O24 0.5373 0.0514 0.4955  1 H 0.98
O25 0.6254 0.4040 0.2113  2 Ru 1.94-2.03
O26 0.6259 0.9296 0.8012  2 Ru 1.97-2.03
O27 0.6583 0.3101 0.3928  2 Ru 1.94-2.04, 1 H 2.16
O28 0.6645 0.8285 0.6154  2 Ru 1.97
O29 0.6858 0.4287 0.8470  2 Ru 1.94-2.03
O30 0.6914 0.9091 0.1523  2 Ru 1.96-1.98
O31 0.8086 0.0909 0.6523  2 Ru 1.96-1.98
O32 0.8142 0.5713 0.3470  2 Ru 1.94-2.03
O33 0.8355 0.1715 0.1154  2 Ru 1.97
O34 0.8417 0.6899 0.8928  2 Ru 1.94-2.04, 1 H 2.16
O35 0.8741 0.0704 0.3012  2 Ru 1.97-2.03
O36 0.8746 0.5960 0.7113  2 Ru 1.94-2.03
O37 0.9627 0.9486 0.9955  1 H 0.98
O38 0.9663 0.4513 0.9926  1 Ru 1.82
O39 0.9891 0.3288 0.2793  2 Ru 1.94-1.96
O40 0.9900 0.8520 0.7294  2 Ru 1.92-1.99